Entry P
# Ga2TcPt

A relaxed Ga2TcPt crystal (GGA-PBE, the Alexandria database).

The structure in CIF format:
```
data_Ga2TcPt
_chemical_formula_sum 'Ga8 Tc4 Pt4'
_cell_length_a 6.1550
_cell_length_b 6.1550
_cell_length_c 6.1550
_cell_angle_alpha 90.00
_cell_angle_beta 90.00
_cell_angle_gamma 90.00
_space_group_name_H-M_alt 'F m -3 m'
_space_group_IT_number 225
_space_group_name_Hall '-F 4 2 3'
loop_
_atom_site_label
_atom_site_type_symbol
_atom_site_fract_x
_atom_site_fract_y
_atom_site_fract_z
_atom_site_occupancy
Ga1 Ga 0.2500 0.2500 0.2500 1
Tc1 Tc 0.0000 0.0000 0.0000 1
Pt1 Pt 0.0000 0.0000 0.5000 1
```

***

Entry Q
# Ga2TcPt

A relaxed Ga2TcPt crystal (GGA-PBE, the Alexandria database).

The structure in CIF format:
```
data_Ga2TcPt
_chemical_formula_sum 'Ga8 Tc4 Pt4'
_cell_length_a 6.8439
_cell_length_b 6.8439
_cell_length_c 5.6868
_cell_angle_alpha 90.00
_cell_angle_beta 90.00
_cell_angle_gamma 90.00
_space_group_name_H-M_alt 'I -4 2 d'
_space_group_IT_number 122
_space_group_name_Hall 'I -4 2bw'
loop_
_atom_site_label
_atom_site_type_symbol
_atom_site_fract_x
_atom_site_fract_y
_atom_site_fract_z
_atom_site_occupancy
Ga1 Ga 0.2413 0.7500 0.1250 1
Tc1 Tc 0.0000 0.0000 0.5000 1
Pt1 Pt 0.0000 0.0000 0.0000 1
```

***

Entry R
# Ga2TcPt

A relaxed Ga2TcPt crystal (GGA-PBE, the Alexandria database).

The structure in CIF format:
```
data_Ga2TcPt
_chemical_formula_sum 'Ga2 Tc1 Pt1'
_cell_length_a 3.1125
_cell_length_b 3.1125
_cell_length_c 6.0849
_cell_angle_alpha 90.00
_cell_angle_beta 90.00
_cell_angle_gamma 90.00
_space_group_name_H-M_alt 'P 4/m m m'
_space_group_IT_number 123
_space_group_name_Hall '-P 4 2'
loop_
_atom_site_label
_atom_site_type_symbol
_atom_site_fract_x
_atom_site_fract_y
_atom_site_fract_z
_atom_site_occupancy
Ga1 Ga 0.0000 0.0000 0.2365 1
Tc1 Tc 0.5000 0.5000 0.0000 1
Pt1 Pt 0.5000 0.5000 0.5000 1
```

***

Computed stability ranking, most favorable first: entry P, entry R, entry Q

***

Entry P
# Ga2TePt2

A relaxed Ga2TePt2 crystal (GGA-PBE, the Alexandria database).

The structure in CIF format:
```
data_Ga2TePt2
_chemical_formula_sum 'Ga4 Te2 Pt4'
_cell_length_a 7.7057
_cell_length_b 7.7057
_cell_length_c 2.9985
_cell_angle_alpha 90.00
_cell_angle_beta 90.00
_cell_angle_gamma 90.00
_space_group_name_H-M_alt 'P 4/m b m'
_space_group_IT_number 127
_space_group_name_Hall '-P 4 2ab'
loop_
_atom_site_label
_atom_site_type_symbol
_atom_site_fract_x
_atom_site_fract_y
_atom_site_fract_z
_atom_site_occupancy
Ga1 Ga 0.1442 0.3558 0.0000 1
Te1 Te 0.0000 0.0000 0.5000 1
Pt1 Pt 0.1493 0.6493 0.5000 1
```

***

Entry Q
# Ga2TePt2

A relaxed Ga2TePt2 crystal (GGA-PBE, the Alexandria database).

The structure in CIF format:
```
data_Ga2TePt2
_chemical_formula_sum 'Ga4 Te2 Pt4'
_cell_length_a 4.1952
_cell_length_b 4.1952
_cell_length_c 10.7908
_cell_angle_alpha 90.00
_cell_angle_beta 90.00
_cell_angle_gamma 90.00
_space_group_name_H-M_alt 'I 4/m m m'
_space_group_IT_number 139
_space_group_name_Hall '-I 4 2'
loop_
_atom_site_label
_atom_site_type_symbol
_atom_site_fract_x
_atom_site_fract_y
_atom_site_fract_z
_atom_site_occupancy
Ga1 Ga 0.0000 0.0000 0.1135 1
Te1 Te 0.0000 0.0000 0.5000 1
Pt1 Pt 0.0000 0.5000 0.2500 1
```

***

Entry R
# Ga2TePt2

A relaxed Ga2TePt2 crystal (GGA-PBE, the Alexandria database).

The structure in CIF format:
```
data_Ga2TePt2
_chemical_formula_sum 'Ga4 Te2 Pt4'
_cell_length_a 3.9208
_cell_length_b 3.9208
_cell_length_c 12.1902
_cell_angle_alpha 90.00
_cell_angle_beta 90.00
_cell_angle_gamma 90.00
_space_group_name_H-M_alt 'I 4/m m m'
_space_group_IT_number 139
_space_group_name_Hall '-I 4 2'
loop_
_atom_site_label
_atom_site_type_symbol
_atom_site_fract_x
_atom_site_fract_y
_atom_site_fract_z
_atom_site_occupancy
Ga1 Ga 0.0000 0.5000 0.2500 1
Te1 Te 0.0000 0.0000 0.0000 1
Pt1 Pt 0.0000 0.0000 0.3829 1
```

***

Computed stability ranking, most favorable first: entry R, entry P, entry Q

***

Entry P
# ThGa4Pt2

A relaxed ThGa4Pt2 crystal (GGA-PBE, the Alexandria database).

The structure in CIF format:
```
data_ThGa4Pt2
_chemical_formula_sum 'Th2 Ga8 Pt4'
_cell_length_a 7.7647
_cell_length_b 7.7647
_cell_length_c 4.3459
_cell_angle_alpha 90.00
_cell_angle_beta 90.00
_cell_angle_gamma 90.00
_space_group_name_H-M_alt 'P 42/m n m'
_space_group_IT_number 136
_space_group_name_Hall '-P 4n 2n'
loop_
_atom_site_label
_atom_site_type_symbol
_atom_site_fract_x
_atom_site_fract_y
_atom_site_fract_z
_atom_site_occupancy
Th1 Th 0.0000 0.0000 0.0000 1
Ga1 Ga 0.0892 0.3363 0.5000 1
Pt1 Pt 0.2131 0.7869 0.5000 1
```

***

Entry Q
# ThGa4Pt2

A relaxed ThGa4Pt2 crystal (GGA-PBE, the Alexandria database).

The structure in CIF format:
```
data_ThGa4Pt2
_chemical_formula_sum 'Th4 Ga16 Pt8'
_cell_length_a 17.3919
_cell_length_b 4.4382
_cell_length_c 6.6532
_cell_angle_alpha 90.00
_cell_angle_beta 90.00
_cell_angle_gamma 90.00
_space_group_name_H-M_alt 'P n m a'
_space_group_IT_number 62
loop_
_space_group_symop_operation_xyz
'x,y,z'
'-x,-y,-z'
'-x+1/2,-y,z+1/2'
'x+1/2,y,-z+1/2'
'x+1/2,-y+1/2,-z+1/2'
'-x+1/2,y+1/2,z+1/2'
'-x,y+1/2,-z'
'x,-y+1/2,z'
loop_
_atom_site_label
_atom_site_type_symbol
_atom_site_fract_x
_atom_site_fract_y
_atom_site_fract_z
_atom_site_occupancy
Th1 Th 0.1382 0.2500 0.0078 1
Ga1 Ga 0.0366 0.7500 0.8281 1
Ga2 Ga 0.0709 0.2500 0.4871 1
Ga3 Ga 0.1831 0.7500 0.3205 1
Ga4 Ga 0.1896 0.7500 0.7190 1
Pt1 Pt 0.0353 0.7500 0.2429 1
Pt2 Pt 0.2171 0.2500 0.5248 1
```

***

Computed stability ranking, most favorable first: entry Q, entry P

***

Entry P
# TiGa2Pt2

A relaxed TiGa2Pt2 crystal (GGA-PBE, the Alexandria database).

The structure in CIF format:
```
data_TiGa2Pt2
_chemical_formula_sum 'Ti2 Ga4 Pt4'
_cell_length_a 7.4977
_cell_length_b 7.4977
_cell_length_c 2.8395
_cell_angle_alpha 90.00
_cell_angle_beta 90.00
_cell_angle_gamma 90.00
_space_group_name_H-M_alt 'P 4/m b m'
_space_group_IT_number 127
_space_group_name_Hall '-P 4 2ab'
loop_
_atom_site_label
_atom_site_type_symbol
_atom_site_fract_x
_atom_site_fract_y
_atom_site_fract_z
_atom_site_occupancy
Ti1 Ti 0.0000 0.0000 0.0000 1
Ga1 Ga 0.1610 0.3390 0.5000 1
Pt1 Pt 0.1380 0.6380 0.0000 1
```

***

Entry Q
# TiGa2Pt2

A relaxed TiGa2Pt2 crystal (GGA-PBE, the Alexandria database).

The structure in CIF format:
```
data_TiGa2Pt2
_chemical_formula_sum 'Ti2 Ga4 Pt4'
_cell_length_a 3.6579
_cell_length_b 3.6579
_cell_length_c 12.5191
_cell_angle_alpha 90.00
_cell_angle_beta 90.00
_cell_angle_gamma 90.00
_space_group_name_H-M_alt 'I 4/m m m'
_space_group_IT_number 139
_space_group_name_Hall '-I 4 2'
loop_
_atom_site_label
_atom_site_type_symbol
_atom_site_fract_x
_atom_site_fract_y
_atom_site_fract_z
_atom_site_occupancy
Ti1 Ti 0.0000 0.0000 0.0000 1
Ga1 Ga 0.0000 0.5000 0.2500 1
Pt1 Pt 0.0000 0.0000 0.3963 1
```

***

Entry R
# TiGa2Pt2

A relaxed TiGa2Pt2 crystal (GGA-PBE, the Alexandria database).

The structure in CIF format:
```
data_TiGa2Pt2
_chemical_formula_sum 'Ti2 Ga4 Pt4'
_cell_length_a 7.5211
_cell_length_b 7.5211
_cell_length_c 2.7900
_cell_angle_alpha 90.00
_cell_angle_beta 90.00
_cell_angle_gamma 90.00
_space_group_name_H-M_alt 'P 4/m b m'
_space_group_IT_number 127
_space_group_name_Hall '-P 4 2ab'
loop_
_atom_site_label
_atom_site_type_symbol
_atom_site_fract_x
_atom_site_fract_y
_atom_site_fract_z
_atom_site_occupancy
Ti1 Ti 0.0000 0.0000 0.0000 1
Ga1 Ga 0.1327 0.3673 0.0000 1
Pt1 Pt 0.1666 0.6666 0.5000 1
```

***

Computed stability ranking, most favorable first: entry R, entry Q, entry P

***

Entry P
# Ti6GaPt

A relaxed Ti6GaPt crystal (GGA-PBE, the Alexandria database).

The structure in CIF format:
```
data_Ti6GaPt
_chemical_formula_sum 'Ti12 Ga2 Pt2'
_cell_length_a 4.7260
_cell_length_b 5.7091
_cell_length_c 9.6959
_cell_angle_alpha 90.00
_cell_angle_beta 90.00
_cell_angle_gamma 90.00
_space_group_name_H-M_alt 'A m m 2'
_space_group_IT_number 38
loop_
_space_group_symop_operation_xyz
'x,y,z'
'-x,-y,z'
'-x,y,z'
'x,-y,z'
'x,y+1/2,z+1/2'
'-x,-y+1/2,z+1/2'
'-x,y+1/2,z+1/2'
'x,-y+1/2,z+1/2'
loop_
_atom_site_label
_atom_site_type_symbol
_atom_site_fract_x
_atom_site_fract_y
_atom_site_fract_z
_atom_site_occupancy
Ti1 Ti 0.0000 0.0000 0.0000 1
Ti2 Ti 0.0000 0.2418 0.2480 1
Ti3 Ti 0.5000 0.0000 0.6699 1
Ti4 Ti 0.5000 0.2431 0.4255 1
Ga1 Ga 0.0000 0.0000 0.5030 1
Pt1 Pt 0.5000 0.0000 0.1741 1
```

***

Entry Q
# Ti6GaPt

A relaxed Ti6GaPt crystal (GGA-PBE, the Alexandria database).

The structure in CIF format:
```
data_Ti6GaPt
_chemical_formula_sum 'Ti12 Ga2 Pt2'
_cell_length_a 5.5615
_cell_length_b 9.0944
_cell_length_c 5.2285
_cell_angle_alpha 90.00
_cell_angle_beta 99.10
_cell_angle_gamma 90.00
_space_group_name_H-M_alt 'C 1 2/m 1'
_space_group_IT_number 12
loop_
_space_group_symop_operation_xyz
'x,y,z'
'-x,-y,-z'
'-x,y,-z'
'x,-y,z'
'x+1/2,y+1/2,z'
'-x+1/2,-y+1/2,-z'
'-x+1/2,y+1/2,-z'
'x+1/2,-y+1/2,z'
loop_
_atom_site_label
_atom_site_type_symbol
_atom_site_fract_x
_atom_site_fract_y
_atom_site_fract_z
_atom_site_occupancy
Ti1 Ti 0.1300 0.2386 0.2403 1
Ti2 Ti 0.2463 0.0000 0.9723 1
Ga1 Ga 0.0000 0.5000 0.5000 1
Pt1 Pt 0.0000 0.0000 0.5000 1
```

***

Computed stability ranking, most favorable first: entry P, entry Q

***

Entry P
# TiGaPt5

A relaxed TiGaPt5 crystal (GGA-PBE, the Alexandria database).

The structure in CIF format:
```
data_TiGaPt5
_chemical_formula_sum 'Ti4 Ga4 Pt20'
_cell_length_a 8.0067
_cell_length_b 9.6951
_cell_length_c 7.1111
_cell_angle_alpha 90.00
_cell_angle_beta 123.37
_cell_angle_gamma 90.00
_space_group_name_H-M_alt 'C 1 2/c 1'
_space_group_IT_number 15
loop_
_space_group_symop_operation_xyz
'x,y,z'
'-x,-y,-z'
'-x,y,-z+1/2'
'x,-y,z+1/2'
'x+1/2,y+1/2,z'
'-x+1/2,-y+1/2,-z'
'-x+1/2,y+1/2,-z+1/2'
'x+1/2,-y+1/2,z+1/2'
loop_
_atom_site_label
_atom_site_type_symbol
_atom_site_fract_x
_atom_site_fract_y
_atom_site_fract_z
_atom_site_occupancy
Ti1 Ti 0.0000 0.0527 0.2500 1
Ga1 Ga 0.0000 0.5000 0.0000 1
Pt1 Pt 0.0000 0.3121 0.2500 1
Pt2 Pt 0.1284 0.1602 0.6490 1
Pt3 Pt 0.2270 0.3949 0.8911 1
```

***

Entry Q
# TiGaPt5

A relaxed TiGaPt5 crystal (GGA-PBE, the Alexandria database).

The structure in CIF format:
```
data_TiGaPt5
_chemical_formula_sum 'Ti1 Ga1 Pt5'
_cell_length_a 3.9671
_cell_length_b 3.9671
_cell_length_c 7.1569
_cell_angle_alpha 90.00
_cell_angle_beta 90.00
_cell_angle_gamma 90.00
_space_group_name_H-M_alt 'P 4/m m m'
_space_group_IT_number 123
_space_group_name_Hall '-P 4 2'
loop_
_atom_site_label
_atom_site_type_symbol
_atom_site_fract_x
_atom_site_fract_y
_atom_site_fract_z
_atom_site_occupancy
Ti1 Ti 0.0000 0.0000 0.0000 1
Ga1 Ga 0.5000 0.5000 0.5000 1
Pt1 Pt 0.0000 0.5000 0.2706 1
Pt2 Pt 0.5000 0.5000 0.0000 1
```

***

Computed stability ranking, most favorable first: entry Q, entry P

***

Entry P
# TiGaPt6

A relaxed TiGaPt6 crystal (GGA-PBE, the Alexandria database).

The structure in CIF format:
```
data_TiGaPt6
_chemical_formula_sum 'Ti1 Ga1 Pt6'
_cell_length_a 3.9464
_cell_length_b 3.9464
_cell_length_c 7.8895
_cell_angle_alpha 90.00
_cell_angle_beta 90.00
_cell_angle_gamma 90.00
_space_group_name_H-M_alt 'P 4/m m m'
_space_group_IT_number 123
_space_group_name_Hall '-P 4 2'
loop_
_atom_site_label
_atom_site_type_symbol
_atom_site_fract_x
_atom_site_fract_y
_atom_site_fract_z
_atom_site_occupancy
Ti1 Ti 0.0000 0.0000 0.0000 1
Ga1 Ga 0.0000 0.0000 0.5000 1
Pt1 Pt 0.0000 0.5000 0.2450 1
Pt2 Pt 0.5000 0.5000 0.0000 1
Pt3 Pt 0.5000 0.5000 0.5000 1
```

***

Entry Q
# TiGaPt6

A relaxed TiGaPt6 crystal (GGA-PBE, the Alexandria database).

The structure in CIF format:
```
data_TiGaPt6
_chemical_formula_sum 'Ti2 Ga2 Pt12'
_cell_length_a 8.0778
_cell_length_b 11.1257
_cell_length_c 2.8071
_cell_angle_alpha 90.00
_cell_angle_beta 90.00
_cell_angle_gamma 90.00
_space_group_name_H-M_alt 'C m m m'
_space_group_IT_number 65
_space_group_name_Hall '-C 2 2'
loop_
_atom_site_label
_atom_site_type_symbol
_atom_site_fract_x
_atom_site_fract_y
_atom_site_fract_z
_atom_site_occupancy
Ti1 Ti 0.0000 0.0000 0.0000 1
Ga1 Ga 0.0000 0.5000 0.5000 1
Pt1 Pt 0.0000 0.2052 0.5000 1
Pt2 Pt 0.2155 0.3738 0.0000 1
```

***

Computed stability ranking, most favorable first: entry P, entry Q

***

Entry P
# Tl2GaPt

A relaxed Tl2GaPt crystal (GGA-PBE, the Alexandria database).

The structure in CIF format:
```
data_Tl2GaPt
_chemical_formula_sum 'Tl8 Ga4 Pt4'
_cell_length_a 9.5921
_cell_length_b 9.5921
_cell_length_c 4.8727
_cell_angle_alpha 90.00
_cell_angle_beta 90.00
_cell_angle_gamma 90.00
_space_group_name_H-M_alt 'I -4 2 d'
_space_group_IT_number 122
_space_group_name_Hall 'I -4 2bw'
loop_
_atom_site_label
_atom_site_type_symbol
_atom_site_fract_x
_atom_site_fract_y
_atom_site_fract_z
_atom_site_occupancy
Tl1 Tl 0.1385 0.7500 0.1250 1
Ga1 Ga 0.0000 0.0000 0.5000 1
Pt1 Pt 0.0000 0.0000 0.0000 1
```

***

Entry Q
# Tl2GaPt

A relaxed Tl2GaPt crystal (GGA-PBE, the Alexandria database).

The structure in CIF format:
```
data_Tl2GaPt
_chemical_formula_sum 'Tl6 Ga3 Pt3'
_cell_length_a 3.3074
_cell_length_b 3.3074
_cell_length_c 30.1464
_cell_angle_alpha 90.00
_cell_angle_beta 90.00
_cell_angle_gamma 120.00
_space_group_name_H-M_alt 'R -3 m'
_space_group_IT_number 166
_space_group_name_Hall '-R 3 2"'
loop_
_atom_site_label
_atom_site_type_symbol
_atom_site_fract_x
_atom_site_fract_y
_atom_site_fract_z
_atom_site_occupancy
Tl1 Tl 0.0000 0.0000 0.0947 1
Ga1 Ga 0.0000 0.0000 0.0000 1
Pt1 Pt 0.0000 0.0000 0.5000 1
```

***

Entry R
# Tl2GaPt

A relaxed Tl2GaPt crystal (GGA-PBE, the Alexandria database).

The structure in CIF format:
```
data_Tl2GaPt
_chemical_formula_sum 'Tl8 Ga4 Pt4'
_cell_length_a 7.1024
_cell_length_b 7.1024
_cell_length_c 7.1024
_cell_angle_alpha 90.00
_cell_angle_beta 90.00
_cell_angle_gamma 90.00
_space_group_name_H-M_alt 'F m -3 m'
_space_group_IT_number 225
_space_group_name_Hall '-F 4 2 3'
loop_
_atom_site_label
_atom_site_type_symbol
_atom_site_fract_x
_atom_site_fract_y
_atom_site_fract_z
_atom_site_occupancy
Tl1 Tl 0.2500 0.2500 0.2500 1
Ga1 Ga 0.0000 0.0000 0.0000 1
Pt1 Pt 0.0000 0.0000 0.5000 1
```

***

Computed stability ranking, most favorable first: entry P, entry R, entry Q